Entry from Alexandria via LeMat-Bulk: crystalline MnOs2Au at its relaxed geometry (GGA-PBE).

Summary:
crystal system: tetragonal
polymorph energy (0 for the lowest one): 177.7 meV/atom

a = 2.707 Å, b = 2.707 Å, c = 7.847 Å
α = 90.00°, β = 90.00°, γ = 90.00°
Atoms (fractional coordinates):
Os 0.000 0.000 0.531
Au 0.500 0.500 0.250
Os 0.000 0.000 0.969
Mn 0.500 0.500 0.750